1.
A geometry-optimized Dy2TmCo2B2As3 structure, computed with PBE.

The space group is I4/mmm (No. 139) and the conventional cell measures 3.906, 3.906 and 22.600 Å, with angles of 90.00, 90.00 and 90.00 degrees. The inequivalent atoms are Dy at (0.000, 0.000, 0.144), Tm at (0.000, 0.000, 0.500), Co at (0.000, 0.500, 0.250), B at (0.000, 0.000, 0.282), As at (0.000, 0.000, 0.000) and As at (0.000, 0.000, 0.377).

The value obtained for the mass density is 8.27 g/cm3. As for the energy: -6.286 eV/atom. The total magnetic moment comes out at 0.001 μB/atom.

---

2.
A geometry-optimized DyErGe structure, computed with PBE.

The space group is P-62m (No. 189) and the conventional cell measures 7.8611, 7.8611 and 4.2422 Å, with angles of 90.00, 90.00 and 120.00 degrees. The inequivalent atoms are Dy at (0.0000, 0.5930, 0.0000), Er at (0.0000, 0.2611, 0.5000), Ge at (0.0000, 0.0000, 0.0000) and Ge at (0.3333, 0.6667, 0.5000).

The value obtained for the mass density is 8.83 g/cm3. The total magnetic moment comes out at 0.210 μB/atom. For the distance to the lowest polymorph of the same formula, the calculation gives 0.0 kJ/mol of atoms.

---

3.
A geometry-optimized La3NdBr2O2 structure, computed with PBE.

The space group is P3m1 (No. 156) and the conventional cell measures 3.7269, 3.7269 and 14.8203 Å, with angles of 90.00, 90.00 and 120.00 degrees. The inequivalent atoms are La at (0.0000, 0.0000, 0.0000), La at (0.0000, 0.0000, 0.3166), La at (0.6667, 0.3333, 0.5048), Nd at (0.6667, 0.3333, 0.8174), Br at (0.0000, 0.0000, 0.6646), Br at (0.6667, 0.3333, 0.1586), O at (0.3333, 0.6667, 0.4105) and O at (0.3333, 0.6667, 0.9062).

The value obtained for the mass density is 7.01 g/cm3. As for the energy: -6.099 eV/atom. The total magnetic moment comes out at 0.127 μB/atom.

---

4.
A geometry-optimized LuNiHg structure, computed with PBE.

The space group is F-43m (No. 216) and the conventional cell measures 6.333, 6.333 and 6.333 Å, with angles of 90.00, 90.00 and 90.00 degrees. The inequivalent atoms are Lu at (0.000, 0.000, 0.000), Ni at (0.250, 0.250, 0.750) and Hg at (0.000, 0.000, 0.500).

The formation energy comes out at -0.30 eV/atom. The value obtained for the mass density is 11.35 g/cm3. The total magnetic moment comes out at 0.000 μB/atom. For the distance to the lowest polymorph of the same formula, the calculation gives 0.0 kJ/mol of atoms.

---

Which of these has the lowest total magnetic moment?
LuNiHg